Compound: NaSr3Mg
Source: Alexandria
Functional: PBE
Structure: optimized geometry

Output
DFT formation energy: 0.424 eV/atom
E above lowest polymorph: 0.426 eV/atom

Geometry as CIF:
```
data_NaSr3Mg
_chemical_formula_sum 'Na1 Sr3 Mg1'
_cell_length_a 6.4103
_cell_length_b 6.4103
_cell_length_c 6.4103
_cell_angle_alpha 90.00
_cell_angle_beta 90.00
_cell_angle_gamma 90.00
_symmetry_space_group_name_H-M 'P m -3 m'
_symmetry_Int_Tables_number 221
_symmetry_space_group_name_Hall '-P 4 2 3'
loop_
_atom_site_label
_atom_site_type_symbol
_atom_site_fract_x
_atom_site_fract_y
_atom_site_fract_z
_atom_site_occupancy
Na1 Na 0.0000 0.0000 0.0000 1
Sr1 Sr 0.0000 0.0000 0.5000 1
Mg1 Mg 0.5000 0.5000 0.5000 1
```